Below is a relaxed GaTc crystal, with properties calculated at the PBE level.

Summary:
- M_tot (μB/cell) = 0.0
- formation energy (meV per atom) = 296
- calculated total energy (eV per atom) = -6.401
- offset from the most stable computed form (kJ/mol of atoms) = 45.4

a = 7.0782 Å, b = 7.5793 Å, c = 9.6588 Å
α = 90.00°, β = 90.00°, γ = 90.00°
Space group Fddd (No. 70, origin choice 2)
One atom of each set of equivalent atoms:
Ga (0.1250, 0.3132, 0.1250)
Tc (0.0424, 0.3750, 0.8750)


Below is a relaxed Sc2CuI crystal, with properties calculated at the PBE level.

Summary:
- formation energy (no corrections) (meV per atom) = -31.4
- M_tot (μB/cell) = 0.0
- calculated total energy (eV per atom) = -4.609
- offset from the most stable computed form (kJ/mol of atoms) = 18.2

a = 7.4854 Å, b = 7.4854 Å, c = 6.6290 Å
α = 90.00°, β = 90.00°, γ = 90.00°
Space group I-42d (No. 122)
One atom of each set of equivalent atoms:
Sc (0.2154, 0.2500, 0.1250)
Cu (0.0000, 0.0000, 0.0000)
I (0.0000, 0.0000, 0.5000)